This record from Alexandria describes Ta2BeTe at its PBEsol-relaxed geometry. The functional is meta-GGA SCAN.

As for the calculated total energy: -172.62 eV per formula unit. Its formation energy from raw total energies is 0.537 eV/atom. Its energy above the most stable polymorph in this dataset is 236 meV/atom. For the volume, the calculation gives 16.81 A^3/atom. The space-group type is No. 216.

Cell lengths 4.5647, 4.5647, 4.5647 Å; angles 60.00, 60.00, 60.00 degrees
With the nearest neighbours (Å) after each atom.
Sites, in units of the cell vectors:
1 Be 0.5000 0.5000 0.5000  4 Te 2.80, 4 Ta 2.80
2 Te 0.2500 0.2500 0.2500  4 Ta 2.80, 4 Be 2.80
3 Ta 0.7500 0.7500 0.7500  4 Ta 2.80, 4 Be 2.80
4 Ta 0.0000 0.0000 0.0000  4 Ta 2.80, 4 Te 2.80